Compound: Nd2BiO4F
Source: Alexandria
Functional: GGA-PBE
Structure: relaxed Values from VASP.

Structure (Quantum ESPRESSO input):
```
&SYSTEM
  ibrav = 0, nat = 8, ntyp = 4
/
ATOMIC_SPECIES
Nd 144.24 Nd.upf
Bi 208.98 Bi.upf
O 16.00 O.upf
F 19.00 F.upf
ATOMIC_POSITIONS crystal
Nd 0.810 0.684 0.697
Nd 0.190 0.316 0.303
Bi 0.000 0.000 0.000
O 0.180 0.970 0.670
O 0.367 0.331 0.936
O 0.820 0.030 0.330
O 0.633 0.669 0.064
F 0.500 0.500 0.500
CELL_PARAMETERS angstrom
3.516 0.000 0.000
1.758 5.524 0.810
1.758 2.062 6.594
```

Formation energy from raw total energies in eV per atom: -2.727

=====

Compound: NdBi2O4F
Source: Alexandria
Functional: GGA-PBE
Structure: relaxed Values from VASP.

Structure (Quantum ESPRESSO input):
```
&SYSTEM
  ibrav = 0, nat = 8, ntyp = 4
/
ATOMIC_SPECIES
Nd 144.24 Nd.upf
Bi 208.98 Bi.upf
O 16.00 O.upf
F 19.00 F.upf
ATOMIC_POSITIONS crystal
Nd 0.000 0.000 0.000
Bi 0.500 0.500 0.297
Bi 0.500 0.500 0.703
O 0.000 0.500 0.170
O 0.500 0.000 0.830
O 0.500 0.000 0.170
O 0.000 0.500 0.830
F 0.000 0.000 0.500
CELL_PARAMETERS angstrom
3.907 0.000 0.000
0.000 3.907 0.000
0.000 0.000 8.761
```

Formation energy from raw total energies in eV per atom: -2.113

=====

Among the records above, which one has the lowest formation energy from raw total energies? Nd2BiO4F

=====

What did the first record say?
Compound: Nd2BiO4F
Source: Alexandria
Functional: GGA-PBE
Structure: relaxed Values from VASP.

Structure (Quantum ESPRESSO input):
```
&SYSTEM
  ibrav = 0, nat = 8, ntyp = 4
/
ATOMIC_SPECIES
Nd 144.24 Nd.upf
Bi 208.98 Bi.upf
O 16.00 O.upf
F 19.00 F.upf
ATOMIC_POSITIONS crystal
Nd 0.810 0.684 0.697
Nd 0.190 0.316 0.303
Bi 0.000 0.000 0.000
O 0.180 0.970 0.670
O 0.367 0.331 0.936
O 0.820 0.030 0.330
O 0.633 0.669 0.064
F 0.500 0.500 0.500
CELL_PARAMETERS angstrom
3.516 0.000 0.000
1.758 5.524 0.810
1.758 2.062 6.594
```

Formation energy from raw total energies in eV per atom: -2.727

=====

Repeat the second record exactly.
Compound: NdBi2O4F
Source: Alexandria
Functional: GGA-PBE
Structure: relaxed Values from VASP.

Structure (Quantum ESPRESSO input):
```
&SYSTEM
  ibrav = 0, nat = 8, ntyp = 4
/
ATOMIC_SPECIES
Nd 144.24 Nd.upf
Bi 208.98 Bi.upf
O 16.00 O.upf
F 19.00 F.upf
ATOMIC_POSITIONS crystal
Nd 0.000 0.000 0.000
Bi 0.500 0.500 0.297
Bi 0.500 0.500 0.703
O 0.000 0.500 0.170
O 0.500 0.000 0.830
O 0.500 0.000 0.170
O 0.000 0.500 0.830
F 0.000 0.000 0.500
CELL_PARAMETERS angstrom
3.907 0.000 0.000
0.000 3.907 0.000
0.000 0.000 8.761
```

Formation energy from raw total energies in eV per atom: -2.113